## HfHgRu2Cl (PBE)

Data for HfHgRu2Cl after structural relaxation.

**E_form (uncorrected)**: 1.222 eV per atom

The structure in CIF format:
```
data_HfHgRu2Cl
_chemical_formula_sum 'Hf1 Hg1 Ru2 Cl1'
_symmetry_space_group_name_H-M 'P 4/m m m'
_symmetry_Int_Tables_number 123
_symmetry_space_group_name_Hall '-P 4 2'
_cell_length_a 4.872
_cell_length_b 4.872
_cell_length_c 5.632
_cell_angle_alpha 90.00
_cell_angle_beta 90.00
_cell_angle_gamma 90.00
loop_
_atom_site_label
_atom_site_fract_x
_atom_site_fract_y
_atom_site_fract_z
Hf1 0.000 0.000 0.000
Hg1 0.000 0.000 0.500
Ru1 0.000 0.500 0.000
Cl1 0.500 0.500 0.500
```



## HfHgSb2Cl (PBE)

Data for HfHgSb2Cl after structural relaxation.

**E_form (uncorrected)**: 0.630 eV per atom

The structure in CIF format:
```
data_HfHgSb2Cl
_chemical_formula_sum 'Hf1 Hg1 Sb2 Cl1'
_symmetry_space_group_name_H-M 'P 4/m m m'
_symmetry_Int_Tables_number 123
_symmetry_space_group_name_Hall '-P 4 2'
_cell_length_a 5.573
_cell_length_b 5.573
_cell_length_c 4.614
_cell_angle_alpha 90.00
_cell_angle_beta 90.00
_cell_angle_gamma 90.00
loop_
_atom_site_label
_atom_site_fract_x
_atom_site_fract_y
_atom_site_fract_z
Hf1 0.000 0.000 0.000
Hg1 0.500 0.500 0.000
Sb1 0.000 0.500 0.500
Cl1 0.000 0.000 0.500
```



## HfHgSe2Cl (PBE)

Data for HfHgSe2Cl after structural relaxation.

**E_form (uncorrected)**: -0.749 eV per atom

The structure in CIF format:
```
data_HfHgSe2Cl
_chemical_formula_sum 'Hf1 Hg1 Se2 Cl1'
_symmetry_space_group_name_H-M 'P 4/m m m'
_symmetry_Int_Tables_number 123
_symmetry_space_group_name_Hall '-P 4 2'
_cell_length_a 5.214
_cell_length_b 5.214
_cell_length_c 5.016
_cell_angle_alpha 90.00
_cell_angle_beta 90.00
_cell_angle_gamma 90.00
loop_
_atom_site_label
_atom_site_fract_x
_atom_site_fract_y
_atom_site_fract_z
Hf1 0.000 0.000 0.000
Hg1 0.500 0.500 0.500
Se1 0.000 0.500 0.000
Cl1 0.000 0.000 0.500
```



## HfHg3Se2Cl6 (PBE)

Data for HfHg3Se2Cl6 after structural relaxation.

**E above lowest polymorph**: 0 meV per atom
**E_form (uncorrected)**: -1.052 eV per atom

The structure in CIF format:
```
data_HfHg3Se2Cl6
_chemical_formula_sum 'Hf2 Hg6 Se4 Cl12'
_symmetry_space_group_name_H-M 'P 1 21/c 1'
_symmetry_Int_Tables_number 14
_cell_length_a 6.968
_cell_length_b 7.798
_cell_length_c 13.518
_cell_angle_alpha 90.00
_cell_angle_beta 90.05
_cell_angle_gamma 90.00
loop_
_symmetry_equiv_pos_as_xyz
'x,y,z'
'-x,-y,-z'
'-x,y+1/2,-z+1/2'
'x,-y+1/2,z+1/2'
loop_
_atom_site_label
_atom_site_fract_x
_atom_site_fract_y
_atom_site_fract_z
Hf1 0.000 0.000 0.000
Hg1 0.499 0.249 0.250
Hg2 0.500 0.000 0.500
Se1 0.325 0.501 0.833
Cl1 0.200 0.226 0.075
Cl2 0.201 0.001 0.850
Cl3 0.203 0.724 0.575
```



## HfHg3Se2Cl6 (PBE)

Data for HfHg3Se2Cl6 after structural relaxation.

**E above lowest polymorph**: 46 meV per atom
**E_form (uncorrected)**: -1.006 eV per atom

The structure in CIF format:
```
data_HfHg3Se2Cl6
_chemical_formula_sum 'Hf2 Hg6 Se4 Cl12'
_symmetry_space_group_name_H-M 'C 1 2/m 1'
_symmetry_Int_Tables_number 12
_cell_length_a 15.303
_cell_length_b 7.577
_cell_length_c 6.773
_cell_angle_alpha 90.00
_cell_angle_beta 113.65
_cell_angle_gamma 90.00
loop_
_symmetry_equiv_pos_as_xyz
'x,y,z'
'-x,-y,-z'
'-x,y,-z'
'x,-y,z'
'x+1/2,y+1/2,z'
'-x+1/2,-y+1/2,-z'
'-x+1/2,y+1/2,-z'
'x+1/2,-y+1/2,z'
loop_
_atom_site_label
_atom_site_fract_x
_atom_site_fract_y
_atom_site_fract_z
Hf1 0.000 0.000 0.000
Hg1 0.000 0.500 0.500
Hg2 0.250 0.250 0.500
Se1 0.183 0.500 0.657
Cl1 0.083 0.000 0.399
Cl2 0.108 0.232 0.979
```



## HfSiHgCl2 (PBE)

Data for HfSiHgCl2 after structural relaxation.

**E_form (uncorrected)**: 0.177 eV per atom

The structure in CIF format:
```
data_HfSiHgCl2
_chemical_formula_sum 'Hf1 Si1 Hg1 Cl2'
_symmetry_space_group_name_H-M 'P 4/m m m'
_symmetry_Int_Tables_number 123
_symmetry_space_group_name_Hall '-P 4 2'
_cell_length_a 4.733
_cell_length_b 4.733
_cell_length_c 5.583
_cell_angle_alpha 90.00
_cell_angle_beta 90.00
_cell_angle_gamma 90.00
loop_
_atom_site_label
_atom_site_fract_x
_atom_site_fract_y
_atom_site_fract_z
Hf1 0.000 0.000 0.000
Si1 0.000 0.000 0.500
Hg1 0.500 0.500 0.000
Cl1 0.000 0.500 0.500
```



## HfTaHgCl2 (PBE)

Data for HfTaHgCl2 after structural relaxation.

**E_form (uncorrected)**: 0.288 eV per atom

The structure in CIF format:
```
data_HfTaHgCl2
_chemical_formula_sum 'Hf1 Ta1 Hg1 Cl2'
_symmetry_space_group_name_H-M 'P 4/m m m'
_symmetry_Int_Tables_number 123
_symmetry_space_group_name_Hall '-P 4 2'
_cell_length_a 4.822
_cell_length_b 4.822
_cell_length_c 5.759
_cell_angle_alpha 90.00
_cell_angle_beta 90.00
_cell_angle_gamma 90.00
loop_
_atom_site_label
_atom_site_fract_x
_atom_site_fract_y
_atom_site_fract_z
Hf1 0.000 0.000 0.000
Ta1 0.000 0.000 0.500
Hg1 0.500 0.500 0.500
Cl1 0.000 0.500 0.000
```



## HfTl2Hg2Cl6 (PBE)

Data for HfTl2Hg2Cl6 after structural relaxation.

**E_form (uncorrected)**: -1.222 eV per atom

The structure in CIF format:
```
data_HfTl2Hg2Cl6
_chemical_formula_sum 'Hf2 Tl4 Hg4 Cl12'
_symmetry_space_group_name_H-M 'C 1 2/m 1'
_symmetry_Int_Tables_number 12
_cell_length_a 7.732
_cell_length_b 13.704
_cell_length_c 7.941
_cell_angle_alpha 90.00
_cell_angle_beta 91.11
_cell_angle_gamma 90.00
loop_
_symmetry_equiv_pos_as_xyz
'x,y,z'
'-x,-y,-z'
'-x,y,-z'
'x,-y,z'
'x+1/2,y+1/2,z'
'-x+1/2,-y+1/2,-z'
'-x+1/2,y+1/2,-z'
'x+1/2,-y+1/2,z'
loop_
_atom_site_label
_atom_site_fract_x
_atom_site_fract_y
_atom_site_fract_z
Hf1 0.000 0.000 0.000
Tl1 0.000 0.332 0.000
Hg1 0.000 0.327 0.500
Cl1 0.125 0.128 0.821
Cl2 0.233 0.500 0.824
```



## HfTlHgCl6 (PBE)

Data for HfTlHgCl6 after structural relaxation.

**E_form (uncorrected)**: -1.295 eV per atom

The structure in CIF format:
```
data_HfTlHgCl6
_chemical_formula_sum 'Hf1 Tl1 Hg1 Cl6'
_symmetry_space_group_name_H-M 'P 3 1 2'
_symmetry_Int_Tables_number 149
_cell_length_a 7.3408
_cell_length_b 7.3408
_cell_length_c 6.5398
_cell_angle_alpha 90.00
_cell_angle_beta 90.00
_cell_angle_gamma 120.00
loop_
_symmetry_equiv_pos_as_xyz
'x,y,z'
'-y,x-y,z'
'-x+y,-x,z'
'-y,-x,-z'
'-x+y,y,-z'
'x,x-y,-z'
loop_
_atom_site_label
_atom_site_fract_x
_atom_site_fract_y
_atom_site_fract_z
Hf1 0.0000 0.0000 0.0000
Tl1 0.3333 0.6667 0.5000
Hg1 0.6667 0.3333 0.0000
Cl1 0.2783 0.0085 0.2188
```



## HfHg2WCl (PBE)

Data for HfHg2WCl after structural relaxation.

**E_form (uncorrected)**: 1.073 eV per atom

The structure in CIF format:
```
data_HfHg2WCl
_chemical_formula_sum 'Hf1 Hg2 W1 Cl1'
_symmetry_space_group_name_H-M 'P 4/m m m'
_symmetry_Int_Tables_number 123
_symmetry_space_group_name_Hall '-P 4 2'
_cell_length_a 5.395
_cell_length_b 5.395
_cell_length_c 4.370
_cell_angle_alpha 90.00
_cell_angle_beta 90.00
_cell_angle_gamma 90.00
loop_
_atom_site_label
_atom_site_fract_x
_atom_site_fract_y
_atom_site_fract_z
Hf1 0.000 0.000 0.000
Hg1 0.000 0.500 0.500
W1 0.500 0.500 0.500
Cl1 0.500 0.500 0.000
```



## Ho2HfCl (PBE)

Data for Ho2HfCl after structural relaxation.

**E_form (uncorrected)**: -0.578 eV per atom

The structure in CIF format:
```
data_Ho2HfCl
_chemical_formula_sum 'Ho6 Hf3 Cl3'
_symmetry_space_group_name_H-M 'R -3 m'
_symmetry_Int_Tables_number 166
_symmetry_space_group_name_Hall '-R 3 2"'
_cell_length_a 3.4739
_cell_length_b 3.4739
_cell_length_c 28.6496
_cell_angle_alpha 90.00
_cell_angle_beta 90.00
_cell_angle_gamma 120.00
loop_
_atom_site_label
_atom_site_fract_x
_atom_site_fract_y
_atom_site_fract_z
Ho1 0.0000 0.0000 0.2442
Hf1 0.0000 0.0000 0.0000
Cl1 0.0000 0.0000 0.5000
```



## HfI2Cl (PBE)

Data for HfI2Cl after structural relaxation.

**E above lowest polymorph**: 0 meV per atom
**E_form (uncorrected)**: -0.815 eV per atom

The structure in CIF format:
```
data_HfI2Cl
_chemical_formula_sum 'Hf4 I8 Cl4'
_symmetry_space_group_name_H-M 'I -4 2 d'
_symmetry_Int_Tables_number 122
_symmetry_space_group_name_Hall 'I -4 2bw'
_cell_length_a 10.668
_cell_length_b 10.668
_cell_length_c 5.001
_cell_angle_alpha 90.00
_cell_angle_beta 90.00
_cell_angle_gamma 90.00
loop_
_atom_site_label
_atom_site_fract_x
_atom_site_fract_y
_atom_site_fract_z
Hf1 0.000 0.000 0.000
I1 0.096 0.750 0.125
Cl1 0.000 0.000 0.500
```



## Hf2ICl (PBE)

Data for Hf2ICl after structural relaxation.

**E above lowest polymorph**: 0 meV per atom
**E_form (uncorrected)**: 0.015 eV per atom

The structure in CIF format:
```
data_Hf2ICl
_chemical_formula_sum 'Hf8 I4 Cl4'
_symmetry_space_group_name_H-M 'I -4 2 d'
_symmetry_Int_Tables_number 122
_symmetry_space_group_name_Hall 'I -4 2bw'
_cell_length_a 4.616
_cell_length_b 4.616
_cell_length_c 18.481
_cell_angle_alpha 90.00
_cell_angle_beta 90.00
_cell_angle_gamma 90.00
loop_
_atom_site_label
_atom_site_fract_x
_atom_site_fract_y
_atom_site_fract_z
Hf1 0.229 0.250 0.125
I1 0.000 0.000 0.500
Cl1 0.000 0.000 0.000
```



## HfI2Cl (PBE)

Data for HfI2Cl after structural relaxation.

**E above lowest polymorph**: 622 meV per atom
**E_form (uncorrected)**: -0.194 eV per atom

The structure in CIF format:
```
data_HfI2Cl
_chemical_formula_sum 'Hf4 I8 Cl4'
_symmetry_space_group_name_H-M 'F m -3 m'
_symmetry_Int_Tables_number 225
_symmetry_space_group_name_Hall '-F 4 2 3'
_cell_length_a 7.389
_cell_length_b 7.389
_cell_length_c 7.389
_cell_angle_alpha 90.00
_cell_angle_beta 90.00
_cell_angle_gamma 90.00
loop_
_atom_site_label
_atom_site_fract_x
_atom_site_fract_y
_atom_site_fract_z
Hf1 0.000 0.000 0.000
I1 0.250 0.250 0.250
Cl1 0.000 0.000 0.500
```



## Hf2ICl (PBE)

Data for Hf2ICl after structural relaxation.

**E above lowest polymorph**: 204 meV per atom
**E_form (uncorrected)**: 0.219 eV per atom

The structure in CIF format:
```
data_Hf2ICl
_chemical_formula_sum 'Hf8 I4 Cl4'
_symmetry_space_group_name_H-M 'F m -3 m'
_symmetry_Int_Tables_number 225
_symmetry_space_group_name_Hall '-F 4 2 3'
_cell_length_a 6.938
_cell_length_b 6.938
_cell_length_c 6.938
_cell_angle_alpha 90.00
_cell_angle_beta 90.00
_cell_angle_gamma 90.00
loop_
_atom_site_label
_atom_site_fract_x
_atom_site_fract_y
_atom_site_fract_z
Hf1 0.250 0.250 0.250
I1 0.000 0.000 0.000
Cl1 0.000 0.000 0.500
```



## HfICl (PBE)

Data for HfICl after structural relaxation.

**E_form (uncorrected)**: -0.657 eV per atom

The structure in CIF format:
```
data_HfICl
_chemical_formula_sum 'Hf2 I2 Cl2'
_symmetry_space_group_name_H-M 'P 1'
_symmetry_Int_Tables_number 1
_cell_length_a 4.706
_cell_length_b 5.338
_cell_length_c 7.339
_cell_angle_alpha 98.41
_cell_angle_beta 90.57
_cell_angle_gamma 100.73
loop_
_symmetry_equiv_pos_as_xyz
'x,y,z'
loop_
_atom_site_label
_atom_site_fract_x
_atom_site_fract_y
_atom_site_fract_z
Hf1 0.000 0.000 0.000
Hf2 0.083 0.583 0.252
I1 0.189 0.946 0.613
I2 0.801 0.436 0.884
Cl1 0.466 0.911 0.111
Cl2 0.586 0.488 0.362
```



## HfIn2I4Cl2 (PBE)

Data for HfIn2I4Cl2 after structural relaxation.

**E_form (uncorrected)**: -0.946 eV per atom

The structure in CIF format:
```
data_HfIn2I4Cl2
_chemical_formula_sum 'Hf2 In4 I8 Cl4'
_symmetry_space_group_name_H-M 'C 1 2/m 1'
_symmetry_Int_Tables_number 12
_cell_length_a 13.195
_cell_length_b 8.211
_cell_length_c 7.331
_cell_angle_alpha 90.00
_cell_angle_beta 109.88
_cell_angle_gamma 90.00
loop_
_symmetry_equiv_pos_as_xyz
'x,y,z'
'-x,-y,-z'
'-x,y,-z'
'x,-y,z'
'x+1/2,y+1/2,z'
'-x+1/2,-y+1/2,-z'
'-x+1/2,y+1/2,-z'
'x+1/2,-y+1/2,z'
loop_
_atom_site_label
_atom_site_fract_x
_atom_site_fract_y
_atom_site_fract_z
Hf1 0.000 0.000 0.000
In1 0.211 0.500 0.203
I1 0.084 0.247 0.811
Cl1 0.167 0.000 0.272
```



## HfIn2I2Cl4 (PBE)

Data for HfIn2I2Cl4 after structural relaxation.

**E_form (uncorrected)**: -1.190 eV per atom

The structure in CIF format:
```
data_HfIn2I2Cl4
_chemical_formula_sum 'Hf2 In4 I4 Cl8'
_symmetry_space_group_name_H-M 'C 1 2/m 1'
_symmetry_Int_Tables_number 12
_cell_length_a 13.006
_cell_length_b 7.130
_cell_length_c 8.044
_cell_angle_alpha 90.00
_cell_angle_beta 108.78
_cell_angle_gamma 90.00
loop_
_symmetry_equiv_pos_as_xyz
'x,y,z'
'-x,-y,-z'
'-x,y,-z'
'x,-y,z'
'x+1/2,y+1/2,z'
'-x+1/2,-y+1/2,-z'
'-x+1/2,y+1/2,-z'
'x+1/2,-y+1/2,z'
loop_
_atom_site_label
_atom_site_fract_x
_atom_site_fract_y
_atom_site_fract_z
Hf1 0.000 0.000 0.000
In1 0.230 0.500 0.212
I1 0.186 0.000 0.316
Cl1 0.087 0.242 0.874
```



## K2HfI4Cl2 (PBE)

Data for K2HfI4Cl2 after structural relaxation.

**E_form (uncorrected)**: -1.430 eV per atom

The structure in CIF format:
```
data_K2HfI4Cl2
_chemical_formula_sum 'K4 Hf2 I8 Cl4'
_symmetry_space_group_name_H-M 'C 1 2/m 1'
_symmetry_Int_Tables_number 12
_cell_length_a 13.148
_cell_length_b 8.307
_cell_length_c 8.165
_cell_angle_alpha 90.00
_cell_angle_beta 126.44
_cell_angle_gamma 90.00
loop_
_symmetry_equiv_pos_as_xyz
'x,y,z'
'-x,-y,-z'
'-x,y,-z'
'x,-y,z'
'x+1/2,y+1/2,z'
'-x+1/2,-y+1/2,-z'
'-x+1/2,y+1/2,-z'
'x+1/2,-y+1/2,z'
loop_
_atom_site_label
_atom_site_fract_x
_atom_site_fract_y
_atom_site_fract_z
K1 0.246 0.000 0.274
Hf1 0.000 0.000 0.500
I1 0.038 0.245 0.781
Cl1 0.225 0.000 0.653
```



## K2HfI2Cl4 (PBE)

Data for K2HfI2Cl4 after structural relaxation.

**E_form (uncorrected)**: -1.683 eV per atom

The structure in CIF format:
```
data_K2HfI2Cl4
_chemical_formula_sum 'K4 Hf2 I4 Cl8'
_symmetry_space_group_name_H-M 'I 4/m m m'
_symmetry_Int_Tables_number 139
_symmetry_space_group_name_Hall '-I 4 2'
_cell_length_a 7.482
_cell_length_b 7.482
_cell_length_c 11.308
_cell_angle_alpha 90.00
_cell_angle_beta 90.00
_cell_angle_gamma 90.00
loop_
_atom_site_label
_atom_site_fract_x
_atom_site_fract_y
_atom_site_fract_z
K1 0.000 0.500 0.250
Hf1 0.000 0.000 0.000
I1 0.000 0.000 0.256
Cl1 0.231 0.231 0.000
```



| no. | total energy (eV/atom) | D(E_F) (states/eV/atom) |
| --- | --- | --- |
| 1 | -4.909 | 1.117 |
| 2 | -3.440 | 0.838 |
| 3 | -4.563 | 0.968 |
| 4 | -3.461 | 0.000 |
| 5 | -3.415 | 0.000 |
| 6 | -3.698 | 0.689 |
| 7 | -4.872 | 0.799 |
| 8 | -3.619 | 0.000 |
| 9 | -3.929 | 0.404 |
| 10 | -3.999 | 0.714 |
| 11 | -5.817 | 1.153 |
| 12 | -4.541 | 0.613 |
| 13 | -5.811 | 1.113 |
| 14 | -3.919 | 0.760 |
| 15 | -5.607 | 1.749 |
| 16 | -5.107 | 0.589 |
| 17 | -3.760 | 0.000 |
| 18 | -4.070 | 0.000 |
| 19 | -3.879 | 0.000 |
| 20 | -4.198 | 0.000 |